Record 1
# CaZr

Crystalline CaZr at its relaxed geometry (PBE, Alexandria via LeMat-Bulk). Values from VASP.

Quantum ESPRESSO input file:
```
&SYSTEM
  ibrav = 0, nat = 4, ntyp = 2
/
ATOMIC_SPECIES
Zr 91.22 Zr.upf
Ca 40.08 Ca.upf
ATOMIC_POSITIONS crystal
Zr 0.7500 0.2500 0.0000
Zr 0.2500 0.7500 0.0000
Ca 0.2500 0.2500 0.3330
Ca 0.7500 0.7500 0.6670
CELL_PARAMETERS angstrom
3.9715 0.0000 0.0000
0.0000 3.9715 0.0000
0.0000 0.0000 9.0170
```

## Properties
Raw total energy ... -19.04 eV per cell



Record 2
# CaZr3

Crystalline CaZr3 at its relaxed geometry (PBE, Alexandria via LeMat-Bulk). Values from VASP.

Quantum ESPRESSO input file:
```
&SYSTEM
  ibrav = 0, nat = 4, ntyp = 2
/
ATOMIC_SPECIES
Zr 91.22 Zr.upf
Ca 40.08 Ca.upf
ATOMIC_POSITIONS crystal
Zr 0.0000 0.0000 0.5000
Zr 0.5000 0.0000 0.0000
Zr 0.0000 0.5000 0.0000
Ca 0.0000 0.0000 0.0000
CELL_PARAMETERS angstrom
-3.6620 1.8778 -3.2718
2.8917 -1.5311 -4.1152
-2.4226 -4.6659 0.0336
```

## Properties
Raw total energy ... -17.83 eV per cell



Record 3
# CaZr

Crystalline CaZr at its relaxed geometry (PBE, Alexandria via LeMat-Bulk). Values from VASP.

Quantum ESPRESSO input file:
```
&SYSTEM
  ibrav = 0, nat = 16, ntyp = 2
/
ATOMIC_SPECIES
Zr 91.22 Zr.upf
Ca 40.08 Ca.upf
ATOMIC_POSITIONS crystal
Zr 0.5415 0.2872 0.0000
Ca 0.3501 0.9193 0.5000
Ca 0.0807 0.3501 0.5000
Zr 0.7128 0.5415 0.0000
Ca 0.1351 0.7543 0.0000
Ca 0.8649 0.2457 0.0000
Zr 0.5927 0.6877 0.5000
Ca 0.2457 0.1351 0.0000
Zr 0.4585 0.7128 0.0000
Ca 0.9193 0.6499 0.5000
Zr 0.4073 0.3123 0.5000
Ca 0.6499 0.0807 0.5000
Ca 0.7543 0.8649 0.0000
Zr 0.3123 0.5927 0.5000
Zr 0.6877 0.4073 0.5000
Zr 0.2872 0.4585 0.0000
CELL_PARAMETERS angstrom
10.1915 0.0000 0.0000
0.0000 10.1915 0.0000
0.0000 0.0000 5.2410
```

## Properties
Raw total energy ... -77.89 eV per cell



Record 4
# CaZr

Crystalline CaZr at its relaxed geometry (PBE, Alexandria via LeMat-Bulk). Values from VASP.

Quantum ESPRESSO input file:
```
&SYSTEM
  ibrav = 0, nat = 4, ntyp = 2
/
ATOMIC_SPECIES
Zr 91.22 Zr.upf
Ca 40.08 Ca.upf
ATOMIC_POSITIONS crystal
Zr 0.2425 0.2425 0.2425
Zr 0.5075 0.5075 0.5075
Ca 0.9938 0.9938 0.9938
Ca 0.7562 0.7562 0.7562
CELL_PARAMETERS angstrom
11.7723 0.0023 0.0013
11.2685 3.4071 0.0013
11.2685 1.6674 2.9712
```

## Properties
Raw total energy ... -20.10 eV per cell



Record 5
# Ca3Zr

Crystalline Ca3Zr at its relaxed geometry (PBE, Alexandria via LeMat-Bulk). Values from VASP.

Quantum ESPRESSO input file:
```
&SYSTEM
  ibrav = 0, nat = 4, ntyp = 2
/
ATOMIC_SPECIES
Ca 40.08 Ca.upf
Zr 91.22 Zr.upf
ATOMIC_POSITIONS crystal
Ca 0.5000 0.7500 0.7500
Ca 0.0000 0.0006 0.0169
Ca 0.0000 0.4994 0.4831
Zr 0.5000 0.2500 0.2500
CELL_PARAMETERS angstrom
-4.6939 2.9441 -1.7220
0.2516 -1.4328 -3.1357
-3.8704 -5.6084 0.9618
```

## Properties
Raw total energy ... -13.18 eV per cell



Record 6
# CaZr3

Crystalline CaZr3 at its relaxed geometry (PBE, Alexandria via LeMat-Bulk). Values from VASP.

Quantum ESPRESSO input file:
```
&SYSTEM
  ibrav = 0, nat = 4, ntyp = 2
/
ATOMIC_SPECIES
Zr 91.22 Zr.upf
Ca 40.08 Ca.upf
ATOMIC_POSITIONS crystal
Zr 0.5000 0.5000 0.5000
Zr 0.2500 0.2500 0.2500
Zr 0.7500 0.7500 0.7500
Ca 0.0000 0.0000 0.0000
CELL_PARAMETERS angstrom
-4.8864 1.7597 0.3589
-3.9196 -3.3394 0.7665
-2.4740 -0.1030 4.5794
```

## Properties
Raw total energy ... -26.09 eV per cell



Record 7
# Ca3Zr4

Crystalline Ca3Zr4 at its relaxed geometry (PBE, Alexandria via LeMat-Bulk). Values from VASP.

Quantum ESPRESSO input file:
```
&SYSTEM
  ibrav = 0, nat = 7, ntyp = 2
/
ATOMIC_SPECIES
Ca 40.08 Ca.upf
Zr 91.22 Zr.upf
ATOMIC_POSITIONS crystal
Ca 0.0000 0.5000 0.0000
Zr 0.0000 0.0000 0.6946
Ca 0.5000 0.0000 0.0000
Zr 0.6667 0.3333 0.5000
Zr 0.0000 0.0000 0.3054
Zr 0.3333 0.6667 0.5000
Ca 0.5000 0.5000 0.0000
CELL_PARAMETERS angstrom
-5.8141 0.7590 0.6552
2.8442 -3.9853 3.2919
1.0782 4.4320 4.4340
```

## Properties
Raw total energy ... -35.29 eV per cell



Record 8
# CaZr

Crystalline CaZr at its relaxed geometry (PBE, Alexandria via LeMat-Bulk). Values from VASP.

Quantum ESPRESSO input file:
```
&SYSTEM
  ibrav = 0, nat = 8, ntyp = 2
/
ATOMIC_SPECIES
Zr 91.22 Zr.upf
Ca 40.08 Ca.upf
ATOMIC_POSITIONS crystal
Zr 0.3438 0.3438 0.0000
Ca 0.8248 0.1752 0.0000
Zr 0.6562 0.6562 0.0000
Ca 0.3248 0.3248 0.5000
Ca 0.6752 0.6752 0.5000
Zr 0.1562 0.8438 0.5000
Ca 0.1752 0.8248 0.0000
Zr 0.8438 0.1562 0.5000
CELL_PARAMETERS angstrom
6.2173 0.0000 0.0000
0.0000 6.2173 0.0000
0.0000 0.0000 6.4008
```

## Properties
Raw total energy ... -34.91 eV per cell